# GGA-PBE KBa2Zr2, relaxed
data_KBa2Zr2
_chemical_formula_sum 'K2 Ba4 Zr4'
_cell_length_a 4.110
_cell_length_b 4.110
_cell_length_c 27.812
_cell_angle_alpha 90.00
_cell_angle_beta 90.00
_cell_angle_gamma 90.00
_symmetry_space_group_name_H-M 'I 4/m m m'
_symmetry_Int_Tables_number 139
_symmetry_space_group_name_Hall '-I 4 2'
loop_
_atom_site_label
_atom_site_type_symbol
_atom_site_fract_x
_atom_site_fract_y
_atom_site_fract_z
K1 K 0.000 0.000 0.000
Ba1 Ba 0.000 0.000 0.366
Zr1 Zr 0.000 0.500 0.250
# E: -3.9312 eV per atom
# Calculated formation energy: 0.477 eV/atom
# Total moment: 0.00 μB per cell